Record 1
DFT (GGA-PBE) results for an optimized crystal structure of SrTl2CdRh.

The structure belongs to space group P4/mmm (No. 123); the cell edges are 5.260, 5.260 and 5.276 Å and the angles 90.00°, 90.00° and 90.00°. The distinct sites, in fractional coordinates, are Sr at (0.000, 0.000, 0.000), Tl at (0.000, 0.500, 0.500), Cd at (0.500, 0.500, 0.000) and Rh at (0.500, 0.500, 0.500).

The total energy is -3.093 eV/atom. The value obtained for the density of states at the Fermi level is 0.637 states/eV/atom. The value obtained for the energy of formation from the pure elements is -0.78 eV/f.u.

***

Record 2
DFT (GGA-PBE) results for an optimized crystal structure of SrTlCd2Rh.

The structure belongs to space group P4/mmm (No. 123); the cell edges are 5.237, 5.237 and 5.222 Å and the angles 90.00°, 90.00° and 90.00°. The distinct sites, in fractional coordinates, are Sr at (0.000, 0.000, 0.000), Tl at (0.500, 0.500, 0.000), Cd at (0.000, 0.500, 0.500) and Rh at (0.500, 0.500, 0.500).

The total energy is -2.827 eV/atom. The value obtained for the density of states at the Fermi level is 0.577 states/eV/atom. The value obtained for the energy of formation from the pure elements is -0.90 eV/f.u.